(1)
Here is a relaxed Pb3AuCl crystal from Alexandria via LeMat-Bulk. Energies are from PBE.

The offset from the most stable computed form comes out at 0.000 eV per atom. The calculation puts the calculated volume at 178.7 Å³ per cell. As for the total magnetization: 0.0000 μB per atom. For the uncorrected formation energy, the calculation gives 0.136 eV/atom. For the theoretical density, the calculation gives 7.937 g/cm3.

Cell and atoms, written as CIF:
```
data_Pb3AuCl
_space_group_name_H-M_alt 'P m -3 m'
_space_group_IT_number 221
_space_group_name_Hall '-P 4 2 3'
_cell_length_a 5.632
_cell_length_b 5.632
_cell_length_c 5.632
_cell_angle_alpha 90.00
_cell_angle_beta 90.00
_cell_angle_gamma 90.00
loop_
_atom_site_label
_atom_site_type_symbol
_atom_site_fract_x
_atom_site_fract_y
_atom_site_fract_z
Pb1 Pb 0.000 0.000 0.500
Au1 Au 0.000 0.000 0.000
Cl1 Cl 0.500 0.500 0.500
```

---

(2)
Here is a relaxed Pb2AuCl crystal from Alexandria via LeMat-Bulk. Energies are from PBE.

The offset from the most stable computed form comes out at 0.081 eV per atom. The calculation puts the calculated volume at 213.3 Å³ per cell. As for the total magnetization: 0.0000 μB per atom. For the uncorrected formation energy, the calculation gives -0.292 eV/atom. For the theoretical density, the calculation gives 10.071 g/cm3.

Cell and atoms, written as CIF:
```
data_Pb2AuCl
_space_group_name_H-M_alt 'C 1 2/m 1'
_space_group_IT_number 12
_cell_length_a 8.429
_cell_length_b 8.181
_cell_length_c 3.323
_cell_angle_alpha 90.00
_cell_angle_beta 111.41
_cell_angle_gamma 90.00
loop_
_space_group_symop_operation_xyz
'x,y,z'
'-x,-y,-z'
'-x,y,-z'
'x,-y,z'
'x+1/2,y+1/2,z'
'-x+1/2,-y+1/2,-z'
'-x+1/2,y+1/2,-z'
'x+1/2,-y+1/2,z'
loop_
_atom_site_label
_atom_site_type_symbol
_atom_site_fract_x
_atom_site_fract_y
_atom_site_fract_z
Pb1 Pb 0.250 0.250 0.000
Au1 Au 0.000 0.000 0.500
Cl1 Cl 0.000 0.500 0.500
```